(1)
A relaxed structure of InTe2BrN, computed with PBE-GGA.

Values from the calculation:
Space-group type   No. 123
Energy relative to the lowest polymorph listed for this composition   0 meV/atom

Lattice parameters (Å, degrees): 6.004 6.004 3.997 90.00 90.00 90.00
Sites, in units of the cell vectors:
Br 0.500 0.500 0.500
Te 0.000 0.500 0.000
Te 0.500 0.000 0.000
In 0.000 0.000 0.000
N 0.000 0.000 0.500



(2)
A relaxed structure of Ge2Rh2Br, computed with PBE-GGA.

Values from the calculation:
Space-group type   No. 127
Energy relative to the lowest polymorph listed for this composition   11 meV/atom

Lattice parameters (Å, degrees): 7.396 7.396 3.081 90.00 90.00 90.00
Sites, in units of the cell vectors:
Rh 0.141 0.359 0.000
Rh 0.641 0.141 0.000
Rh 0.859 0.641 0.000
Rh 0.359 0.859 0.000
Br 0.500 0.500 0.000
Br 0.000 0.000 0.000
Ge 0.855 0.355 0.500
Ge 0.645 0.855 0.500
Ge 0.355 0.145 0.500
Ge 0.145 0.645 0.500



(3)
A relaxed structure of SbSCl, computed with PBE-GGA.

Values from the calculation:
Space-group type   No. 12
Uncorrected energy   -46.4 eV/cell

Lattice parameters (Å, degrees): 7.477 3.800 12.908 90.00 109.68 90.00
Sites, in units of the cell vectors:
Sb 0.168 0.000 0.878
Sb 0.832 0.500 0.622
Sb 0.168 0.500 0.378
Sb 0.832 0.000 0.122
S 0.193 0.000 0.244
S 0.193 0.500 0.744
S 0.807 0.500 0.256
S 0.807 0.000 0.756
Cl 0.000 0.000 0.500
Cl 0.000 0.500 0.000
Cl 0.500 0.000 0.500
Cl 0.500 0.500 0.000